Entry from Alexandria via LeMat-Bulk: an optimized crystal structure of Ti2NbBi (PBE).

```
4
Lattice="3.532 0.000 0.000 0.000 3.532 0.000 0.000 0.000 6.147" Properties=species:S:1:pos:R:3 pbc="T T T"
Ti 0.000 0.000 1.419
Ti 0.000 0.000 4.728
Nb 1.766 1.766 0.000
Bi 1.766 1.766 3.073
```

DOS at the Fermi energy in states/eV per atom: 0.79
Total energy in eV per cell: -30.280
Total magnetization in μB/f.u.: 0.0
Calculated formation energy in eV/atom: -0.135

Entry from Alexandria via LeMat-Bulk: an optimized crystal structure of Pm2SmAl6 (PBE).

```
9
Lattice="7.969 0.000 0.000 -3.984 6.901 0.000 0.000 0.000 3.649" Properties=species:S:1:pos:R:3 pbc="T T T"
Pm 0.000 4.601 0.000
Pm 3.984 2.300 0.000
Sm 0.000 0.000 0.000
Al -1.327 2.298 1.824
Al -2.658 4.603 1.824
Al 2.654 0.000 1.824
Al 1.327 2.298 1.824
Al 5.315 0.000 1.824
Al 2.658 4.603 1.824
```

DOS at the Fermi energy in states/eV per atom: 0.49
Total energy in eV per cell: -41.060
E above lowest polymorph in meV/atom: 0
Total magnetization in μB/f.u.: 0.0
Calculated formation energy in eV/atom: -0.487

Entry from Alexandria via LeMat-Bulk: an optimized crystal structure of HgMo2Ir (PBE).

```
4
Lattice="-1.496 2.402 4.746 1.496 -2.402 4.746 1.496 2.402 -4.746" Properties=species:S:1:pos:R:3 pbc="T T T"
Hg 0.000 0.000 0.000
Mo 0.000 0.000 4.760
Mo 0.000 2.402 2.055
Ir 1.496 0.000 2.576
```

DOS at the Fermi energy in states/eV per atom: 0.45
Total energy in eV per cell: -29.212
Total magnetization in μB/f.u.: 0.0
Calculated formation energy in eV/atom: 0.403

Entry from Alexandria via LeMat-Bulk: an optimized crystal structure of In2PPd2 (PBE).

```
10
Lattice="6.788 0.000 0.000 0.000 6.788 0.000 0.000 0.000 4.057" Properties=species:S:1:pos:R:3 pbc="T T T"
In 1.067 2.327 0.000
In 2.327 5.721 0.000
In 4.461 1.067 0.000
In 5.721 4.461 0.000
P 0.000 0.000 2.029
P 3.394 3.394 2.029
Pd 1.047 4.441 2.029
Pd 2.347 1.047 2.029
Pd 4.441 5.742 2.029
Pd 5.742 2.347 2.029
```

DOS at the Fermi energy in states/eV per atom: 0.64
Total energy in eV per cell: -44.248
Total magnetization in μB/f.u.: 0.0
Calculated formation energy in eV/atom: -0.170